<P>
{
  "formula": "Tb5Sb4S",
  "functional": "PBE",
  "state": "relaxed",
  "spacegroup": "No. 139",
  "total_magnetization_mub_per_cell": 0.00,
  "lattice": [[-2.1660, 2.1660, 15.2155], [2.1660, -2.1660, 15.2155], [2.1660, 2.1660, -15.2155]],
  "species": ["Tb", "Tb", "Tb", "Tb", "Tb", "Sb", "Sb", "Sb", "Sb", "S"],
  "frac_coords": [[0.0000, 0.0000, 0.0000], [0.2008, 0.2008, 0.0000], [0.4070, 0.4070, 0.0000], [0.5930, 0.5930, 0.0000], [0.7992, 0.7992, 0.0000], [0.0987, 0.0987, 0.0000], [0.3031, 0.3031, 0.0000], [0.6969, 0.6969, 0.0000], [0.9013, 0.9013, 0.0000], [0.5000, 0.5000, 0.0000]]
}

<Q>
{
  "formula": "Tb5Sb4S",
  "functional": "PBE",
  "state": "relaxed",
  "spacegroup": "No. 79",
  "total_magnetization_mub_per_cell": 0.00,
  "lattice": [[-4.8189, 4.8189, 3.0679], [4.8189, -4.8189, 3.0679], [4.8189, 4.8189, -3.0679]],
  "species": ["Tb", "Tb", "Tb", "Tb", "Tb", "Sb", "Sb", "Sb", "Sb", "S"],
  "frac_coords": [[0.0000, 0.0000, 0.0000], [0.2139, 0.5997, 0.8119], [0.4020, 0.2139, 0.6141], [0.5997, 0.7879, 0.3859], [0.7879, 0.4020, 0.1881], [0.0956, 0.3026, 0.3966], [0.3026, 0.9060, 0.2070], [0.6991, 0.0956, 0.7930], [0.9060, 0.6991, 0.6034], [0.5013, 0.5013, 0.0000]]
}

Looking at the structures above, which would you pick as the most stable? I would pick <Q>.